Record 1
A plane-wave DFT calculation with PBE was carried out for crystalline Na4IrO5 at its relaxed geometry. Values from VASP.

The structure in Quantum ESPRESSO input format:
```
&SYSTEM
  ibrav = 0, nat = 10, ntyp = 3
/
ATOMIC_SPECIES
O 16.00 O.upf
Na 22.99 Na.upf
Ir 192.22 Ir.upf
CELL_PARAMETERS angstrom
1.578 -4.839 2.331
2.033 5.174 0.652
-5.046 0.622 2.342
ATOMIC_POSITIONS crystal
O 0.746 0.920 0.663
O 0.082 0.746 0.826
O 0.920 0.256 0.174
O 0.256 0.082 0.337
O 0.553 0.553 0.000
Na 0.589 0.192 0.793
Na 0.399 0.796 0.207
Na 0.796 0.589 0.397
Na 0.192 0.399 0.603
Ir 0.957 0.957 0.000
```

Results
energy: -51.1 eV/f.u.

Record 2
A plane-wave DFT calculation with PBE was carried out for crystalline Na2IrO4 at its relaxed geometry. Values from VASP.

The structure in Quantum ESPRESSO input format:
```
&SYSTEM
  ibrav = 0, nat = 21, ntyp = 3
/
ATOMIC_SPECIES
O 16.00 O.upf
Na 22.99 Na.upf
Ir 192.22 Ir.upf
CELL_PARAMETERS angstrom
9.552 0.000 0.000
-4.776 8.272 0.000
0.000 0.000 3.124
ATOMIC_POSITIONS crystal
O 0.436 0.212 0.000
O 0.788 0.224 0.000
O 0.224 0.788 0.000
O 0.000 0.809 0.500
O 0.458 0.458 0.500
O 0.000 0.542 0.500
O 0.191 0.191 0.500
O 0.212 0.436 0.000
O 0.564 0.776 0.000
O 0.776 0.564 0.000
O 0.809 0.000 0.500
O 0.542 0.000 0.500
Na 0.333 0.667 0.500
Na 0.667 0.333 0.500
Na 0.000 0.000 0.000
Na 0.000 0.307 0.500
Na 0.693 0.693 0.500
Na 0.307 0.000 0.500
Ir 0.329 0.329 0.000
Ir 0.671 0.000 0.000
Ir 0.000 0.671 0.000
```

Results
energy: -39.2 eV/f.u.

Record 3
A plane-wave DFT calculation with PBE was carried out for crystalline Na3Ir3O8 at its relaxed geometry. Values from VASP.

The structure in Quantum ESPRESSO input format:
```
&SYSTEM
  ibrav = 0, nat = 56, ntyp = 3
/
ATOMIC_SPECIES
Na 22.99 Na.upf
Ir 192.22 Ir.upf
O 16.00 O.upf
CELL_PARAMETERS angstrom
-7.100 -4.543 -2.882
3.351 -7.468 3.517
-4.210 1.719 7.661
ATOMIC_POSITIONS crystal
Na 0.499 0.501 0.001
Na 0.875 0.125 0.625
Na 0.251 0.749 0.249
Na 0.001 0.499 0.501
Na 0.999 0.999 0.999
Na 0.749 0.249 0.251
Na 0.375 0.375 0.375
Na 0.125 0.625 0.875
Na 0.501 0.001 0.499
Na 0.625 0.875 0.125
Na 0.249 0.251 0.749
Na 0.751 0.751 0.751
Ir 0.121 0.371 0.125
Ir 0.375 0.879 0.871
Ir 0.379 0.629 0.625
Ir 0.129 0.875 0.621
Ir 0.879 0.871 0.375
Ir 0.621 0.129 0.875
Ir 0.871 0.375 0.879
Ir 0.125 0.121 0.371
Ir 0.371 0.125 0.121
Ir 0.625 0.379 0.629
Ir 0.629 0.625 0.379
Ir 0.875 0.621 0.129
O 0.092 0.366 0.905
O 0.158 0.655 0.616
O 0.595 0.908 0.866
O 0.109 0.891 0.391
O 0.391 0.109 0.891
O 0.845 0.384 0.658
O 0.155 0.884 0.842
O 0.345 0.116 0.342
O 0.095 0.592 0.134
O 0.359 0.859 0.641
O 0.905 0.092 0.366
O 0.655 0.616 0.158
O 0.366 0.905 0.092
O 0.891 0.391 0.109
O 0.134 0.095 0.592
O 0.859 0.641 0.359
O 0.884 0.842 0.155
O 0.609 0.609 0.609
O 0.658 0.845 0.384
O 0.116 0.342 0.345
O 0.634 0.405 0.408
O 0.866 0.595 0.908
O 0.384 0.658 0.845
O 0.342 0.345 0.116
O 0.408 0.634 0.405
O 0.592 0.134 0.095
O 0.842 0.155 0.884
O 0.616 0.158 0.655
O 0.141 0.141 0.141
O 0.405 0.408 0.634
O 0.641 0.359 0.859
O 0.908 0.866 0.595
```

Results
energy: -85.2 eV/f.u.

Record 4
A plane-wave DFT calculation with PBE was carried out for crystalline Na3Ir3O8 at its relaxed geometry. Values from VASP.

The structure in Quantum ESPRESSO input format:
```
&SYSTEM
  ibrav = 0, nat = 56, ntyp = 3
/
ATOMIC_SPECIES
O 16.00 O.upf
Na 22.99 Na.upf
Ir 192.22 Ir.upf
CELL_PARAMETERS angstrom
-0.668 6.520 -4.419
5.227 -4.123 -6.874
-7.504 -3.310 -3.720
ATOMIC_POSITIONS crystal
O 0.637 0.860 0.357
O 0.131 0.652 0.648
O 0.895 0.902 0.129
O 0.877 0.643 0.433
O 0.869 0.152 0.352
O 0.157 0.154 0.123
O 0.399 0.941 0.593
O 0.902 0.328 0.112
O 0.902 0.077 0.918
O 0.134 0.930 0.366
O 0.373 0.113 0.384
O 0.403 0.388 0.090
O 0.601 0.441 0.407
O 0.866 0.430 0.634
O 0.627 0.613 0.616
O 0.341 0.170 0.829
O 0.345 0.587 0.879
O 0.397 0.879 0.161
O 0.098 0.828 0.888
O 0.616 0.188 0.612
O 0.846 0.849 0.688
O 0.363 0.360 0.643
O 0.105 0.402 0.871
O 0.655 0.087 0.121
O 0.384 0.688 0.388
O 0.843 0.654 0.877
O 0.098 0.577 0.082
O 0.154 0.349 0.312
O 0.597 0.888 0.910
O 0.123 0.143 0.567
O 0.603 0.379 0.839
O 0.659 0.670 0.171
Na 0.540 0.256 0.259
Na 0.032 0.739 0.254
Na 0.272 0.991 0.976
Na 0.116 0.898 0.630
Na 0.244 0.504 0.483
Na 0.884 0.398 0.370
Na 0.460 0.756 0.741
Na 0.378 0.633 0.126
Na 0.728 0.491 0.024
Na 0.756 0.004 0.517
Na 0.622 0.133 0.874
Na 0.968 0.239 0.746
Ir 0.879 0.639 0.652
Ir 0.100 0.619 0.867
Ir 0.900 0.119 0.133
Ir 0.121 0.139 0.348
Ir 0.853 0.870 0.904
Ir 0.379 0.897 0.380
Ir 0.371 0.147 0.613
Ir 0.641 0.875 0.129
Ir 0.621 0.397 0.620
Ir 0.629 0.647 0.387
Ir 0.147 0.370 0.096
Ir 0.359 0.375 0.871
```

Results
energy: -84.8 eV/f.u.